Nd4Sm3PuS8 after structural relaxation. Source: Alexandria via LeMat-Bulk, functional PBE.

Output
Volume in Å³ per atom: 23.19
Total energy in eV/atom: -7.038
Density in g/cm3: 6.84
Magnetic moment in μB/cell: 16.9
Fermi-level density of states in states/eV per cell: 38.84

Unit cell a=8.0602 b=8.0602 c=19.7881 alpha=90.00 beta=90.00 gamma=120.00
Space group R-3m (No. 166, hexagonal axes)
One atom of each set of equivalent atoms:
Nd: 0.0000 0.0000 0.0000 [3 per cell]
Nd: 0.0000 0.5000 0.0000 [9 per cell]
Sm: 0.0000 0.5000 0.5000 [9 per cell]
Pu: 0.0000 0.0000 0.5000 [3 per cell]
S: 0.0000 0.0000 0.2482 [6 per cell]
S: 0.0025 0.5012 0.2476 [18 per cell]